Computed, not measured: a geometry-optimized LiZnSi2 structure at the PBE-GGA level of DFT.

Lattice parameters (Å, degrees): 3.3526 3.3526 5.2657 90.00 90.00 90.00
Space group P4mm (No. 99)
Inequivalent atoms, fractional coordinates:
Li  0.0000  0.0000  0.0000
Zn  0.5000  0.5000  0.7657
Si  0.0000  0.0000  0.4832
Si  0.5000  0.5000  0.2791

Formation energy (no corrections)   0.372 eV/f.u.
Total energy   -13.66 eV/cell